This record from the Alexandria database describes crystalline Zn2Ru2S at its relaxed geometry. The functional is GGA-PBE.

The space group is P4/mbm (No. 127) and the conventional cell measures 6.0294, 6.0294 and 4.1173 Å, with angles of 90.00, 90.00 and 90.00 degrees. Symmetry generates all atoms from Zn at (0.1476, 0.3524, 0.0000), Ru at (0.1623, 0.6623, 0.5000) and S at (0.0000, 0.0000, 0.5000).

The calculation puts the total moment at 0.00 μB per cell. Its uncorrected formation energy is -0.21 eV/f.u. Its volume is 14.97 Å³/atom. The electronic total energy comes out at -5.086 eV/atom.